BaHg2Cl2O2, optimized geometry, DFT PBE-GGA; magnetization = 0.00 μB/f.u.; DOS(E_F) = 0.000 states/eV per atom; calculated volume = 644.4 Å³/cell; energy relative to the elements, uncorrected = -1.285 eV per atom; SG = P4/mbm (127)
1.0
12.181 0.000 0.000
0.000 12.181 0.000
0.000 0.000 4.343
Hg Cl O Ba
8 8 8 4
direct
0.171 0.079 0.500 Hg
0.921 0.171 0.500 Hg
0.421 0.329 0.500 Hg
0.671 0.421 0.500 Hg
0.579 0.671 0.500 Hg
0.329 0.579 0.500 Hg
0.079 0.829 0.500 Hg
0.829 0.921 0.500 Hg
0.675 0.825 0.000 Cl
0.500 0.000 0.500 Cl
0.500 0.500 0.000 Cl
0.325 0.175 0.000 Cl
0.175 0.675 0.000 Cl
0.000 0.000 0.000 Cl
0.825 0.325 0.000 Cl
0.000 0.500 0.500 Cl
0.084 0.229 0.500 O
0.584 0.271 0.500 O
0.771 0.084 0.500 O
0.916 0.771 0.500 O
0.416 0.729 0.500 O
0.271 0.416 0.500 O
0.229 0.916 0.500 O
0.729 0.584 0.500 O
0.364 0.864 0.000 Ba
0.136 0.364 0.000 Ba
0.636 0.136 0.000 Ba
0.864 0.636 0.000 Ba